Record 1
This record from Alexandria describes a relaxed Tb4CeZn crystal. The functional is PBE.

Lattice parameters (Å, degrees): 3.5618 3.5618 13.5449 90.00 90.00 90.00
Fractional coordinates of all 6 atoms:
1 Tb 0.0000 0.0000 0.1309
2 Tb 0.0000 0.0000 0.8691
3 Tb 0.5000 0.5000 0.3222
4 Tb 0.5000 0.5000 0.6778
5 Ce 0.0000 0.0000 0.5000
6 Zn 0.5000 0.5000 0.0000

Values from the calculation:
DFT formation energy = -0.07 eV per atom
ρ = 8.129 g/cm3
Size of the total moment = 0.09 μB/atom
SG = No. 123

Record 2
This record from Alexandria describes a relaxed Tb3CeZn2 crystal. The functional is PBE.

Lattice parameters (Å, degrees): 3.5480 3.5480 12.1422 90.00 90.00 90.00
Fractional coordinates of all 6 atoms:
1 Tb 0.0000 0.0000 0.0000
2 Tb 0.0000 0.0000 0.2962
3 Tb 0.0000 0.0000 0.7038
4 Ce 0.5000 0.5000 0.5000
5 Zn 0.5000 0.5000 0.1489
6 Zn 0.5000 0.5000 0.8511

Values from the calculation:
DFT formation energy = -0.20 eV per atom
ρ = 8.123 g/cm3
Size of the total moment = 0.11 μB/atom
SG = No. 123

Record 3
This record from Alexandria describes a relaxed Tb2CeZn crystal. The functional is PBE.

Lattice parameters (Å, degrees): 3.5421 3.5421 31.1865 90.00 90.00 120.00
Fractional coordinates of all 12 atoms:
1 Tb 0.0000 0.0000 0.0000
2 Tb 0.0000 0.0000 0.1887
3 Tb 0.3333 0.6667 0.6667
4 Tb 0.3333 0.6667 0.8554
5 Tb 0.6667 0.3333 0.3333
6 Tb 0.6667 0.3333 0.5220
7 Ce 0.0000 0.0000 0.4278
8 Ce 0.3333 0.6667 0.0945
9 Ce 0.6667 0.3333 0.7612
10 Zn 0.0000 0.0000 0.5940
11 Zn 0.3333 0.6667 0.2607
12 Zn 0.6667 0.3333 0.9273

Values from the calculation:
DFT formation energy = 0.00 eV per atom
ΔE to the lowest computed polymorph = 119 meV per atom
ρ = 7.694 g/cm3
Size of the total moment = 0.32 μB/atom
SG = No. 160

Record 4
This record from Alexandria describes a relaxed Tb4CeZn5 crystal. The functional is PBE.

Lattice parameters (Å, degrees): 3.5816 3.5816 18.0222 90.00 90.00 90.00
Fractional coordinates of all 10 atoms:
1 Tb 0.0000 0.0000 0.0990
2 Tb 0.0000 0.0000 0.2972
3 Tb 0.0000 0.0000 0.7028
4 Tb 0.0000 0.0000 0.9010
5 Ce 0.0000 0.0000 0.5000
6 Zn 0.5000 0.5000 0.0000
7 Zn 0.5000 0.5000 0.1986
8 Zn 0.5000 0.5000 0.3947
9 Zn 0.5000 0.5000 0.6053
10 Zn 0.5000 0.5000 0.8014

Values from the calculation:
DFT formation energy = -0.30 eV per atom
ρ = 7.921 g/cm3
Size of the total moment = 0.08 μB/atom
SG = No. 123